Computed, not measured: a relaxed Sr3P2F crystal at the GGA-PBE level of DFT.

Results
- E_form (uncorrected): -1593 meV per atom
- Density of states at the Fermi level: 0.98 states/eV/atom
- Total magnetic moment: 0.00 μB per formula unit

Lattice parameters (Å, degrees): 7.441 7.441 8.345 106.30 106.30 48.38
Positions (direct):
Sr  0.042  0.958  0.750
Sr  0.337  0.338  0.919
Sr  0.338  0.337  0.419
Sr  0.662  0.663  0.581
Sr  0.663  0.662  0.081
Sr  0.958  0.042  0.250
P  0.165  0.166  0.583
P  0.166  0.165  0.083
P  0.834  0.835  0.917
P  0.835  0.834  0.417
F  0.457  0.543  0.750
F  0.543  0.457  0.250



Computed, not measured: a relaxed POsRh crystal at the GGA-PBE level of DFT.

Results
- Calculated formation energy: -0.09 eV per atom
- Density of states at the Fermi level: 1.07 states/eV/atom
- Total magnetic moment: 0.00 μB per formula unit

Lattice parameters (Å, degrees): 2.851 2.851 5.847 90.00 90.00 120.00
Positions (direct):
P  0.000  0.000  0.000
Os  0.667  0.333  0.707
Rh  0.333  0.667  0.305